First-principles (PBE+U) data for an optimized crystal structure of Fe2Ag2RuO6, as listed in Alexandria.

Calculated values
Electronic total energy (eV/cell): -62.469
Density of states at the Fermi level (states/eV/atom): 0.428

Cell: 5.0996 5.0996 6.1818 Å, 97.51 97.51 118.43°
Closest atoms and distances in Å follow each position.
Fractional positions:
Fe  0.1671  0.8329  0.0000  6 O 1.96-1.99
Fe  0.8329  0.1671  0.0000  6 O 1.96-1.99
Ag  0.1794  0.8206  0.5000  4 O 2.38-2.50
Ag  0.8206  0.1794  0.5000  4 O 2.38-2.50
Ru  0.5000  0.5000  0.0000  6 O 2.02-2.04
O  0.1111  0.1111  0.8260  2 Fe 1.99, 1 Ru 2.04
O  0.2090  0.5501  0.1696  2 Fe 1.96-1.99, 1 Ru 2.02
O  0.4499  0.7910  0.8304  2 Fe 1.96-1.99, 1 Ru 2.02
O  0.5501  0.2090  0.1696  2 Fe 1.96-1.99, 1 Ru 2.02
O  0.7910  0.4499  0.8304  2 Fe 1.96-1.99, 1 Ru 2.02
O  0.8889  0.8889  0.1740  2 Fe 1.99, 1 Ru 2.04